1.
! CePm3Th2As6 | Alexandria via LeMat-Bulk | PBE | optimized geometry; values from VASP
&SYSTEM
  ibrav = 0, nat = 12, ntyp = 4
/
ATOMIC_SPECIES
Th 232.04 Th.upf
Pm 145.00 Pm.upf
As 74.92 As.upf
Ce 140.12 Ce.upf
ATOMIC_POSITIONS angstrom
Th -0.128 -2.943 2.176
Th -2.380 -5.876 4.305
Pm -2.358 -1.842 5.626
Pm -2.143 -3.988 -1.399
Pm -0.150 -6.976 0.855
As -0.011 -1.998 -0.651
As -0.247 -3.894 5.024
As -0.269 -7.912 3.719
As -2.261 -4.924 1.457
As -2.239 -0.906 2.762
As -2.497 -6.820 7.132
Ce -2.121 0.036 -0.076
CELL_PARAMETERS angstrom
-4.243 0.073 -0.152
-0.043 -8.049 -2.646
1.778 -0.842 9.279
! - formation enthalpy at 0 K (eV/atom) = -1.487
! - DOS at the Fermi energy (states/eV/cell) = 9.087
! - total magnetic moment (μB/f.u.) = 0.75

***

2.
! AsP2OsO | Alexandria via LeMat-Bulk | PBE | optimized geometry; values from VASP
&SYSTEM
  ibrav = 0, nat = 5, ntyp = 4
/
ATOMIC_SPECIES
Os 190.23 Os.upf
P 30.97 P.upf
O 16.00 O.upf
As 74.92 As.upf
ATOMIC_POSITIONS angstrom
Os 2.348 2.348 1.718
P 0.000 2.348 0.000
P 2.348 0.000 0.000
O 0.000 0.000 1.718
As 0.000 0.000 0.000
CELL_PARAMETERS angstrom
4.696 0.000 0.000
0.000 4.696 0.000
0.000 0.000 3.435
! - formation energy without anion corrections (eV per atom) = 0.89
! - DOS at the Fermi energy (states/eV/cell) = 4.672
! - total magnetic moment (μB/f.u.) = 0.13